CsMg6WO8, relaxed, DFT GGA+U; DFT total energy = -85.587 eV per cell; density of states at the Fermi level = 2.061 states/eV per cell
1.0
4.6493 0.0000 0.0000
0.0000 4.6493 0.0000
0.0000 0.0000 9.3004
Cs Mg W O
1 6 1 8
Direct
0.0000 0.0000 0.0000
0.0000 0.5000 0.2484
0.0000 0.5000 0.7516
0.5000 0.0000 0.2484
0.5000 0.0000 0.7516
0.5000 0.5000 0.0000
0.5000 0.5000 0.5000
0.0000 0.0000 0.5000
0.0000 0.0000 0.2774
0.0000 0.0000 0.7226
0.0000 0.5000 0.0000
0.0000 0.5000 0.5000
0.5000 0.0000 0.0000
0.5000 0.0000 0.5000
0.5000 0.5000 0.2509
0.5000 0.5000 0.7491